Record 1
{
  "formula": "ZnOsS2",
  "functional": "PBE",
  "state": "relaxed",
  "lattice": [[2.115, 0.000, 6.772], [-1.058, 1.832, 6.772], [-1.058, -1.832, 6.772]],
  "species": ["Zn", "Os", "S", "S"],
  "frac_coords": [[0.000, 0.000, 0.000], [0.500, 0.500, 0.500], [0.888, 0.888, 0.888], [0.112, 0.112, 0.112]],
  "crystal_system": "trigonal",
  "volume_a3_per_atom": 19.68,
  "spacegroup": "R-3m, No. 166",
  "dos_at_fermi_per_ev_fu": 0.2,
  "energy_ev_per_atom": -5.210,
  "total_magnetization_mub_per_cell": 0.0
}

=====

Record 2
{
  "formula": "Zn2OsS2",
  "functional": "PBE",
  "state": "relaxed",
  "lattice": [[3.191, 0.000, 0.000], [0.000, 3.191, 0.000], [1.595, 1.595, 8.546]],
  "species": ["Zn", "Zn", "Os", "S", "S"],
  "frac_coords": [[0.750, 0.250, 0.500], [0.250, 0.750, 0.500], [0.000, 0.000, 0.000], [0.420, 0.420, 0.159], [0.580, 0.580, 0.841]],
  "crystal_system": "tetragonal",
  "volume_a3_per_atom": 17.40,
  "spacegroup": "I4/mmm, No. 139",
  "dos_at_fermi_per_ev_fu": 2.3,
  "relative_energy_ev_per_fu": 1.52,
  "energy_ev_per_atom": -3.807,
  "total_magnetization_mub_per_cell": 0.5
}

=====

Record 3
{
  "formula": "ZnOsS2",
  "functional": "PBE",
  "state": "relaxed",
  "lattice": [[-2.914, 4.478, 1.309], [-1.950, 0.234, -5.138], [-6.307, -0.557, -0.577]],
  "species": ["Zn", "Zn", "Os", "Os", "S", "S", "S", "S"],
  "frac_coords": [[0.500, 0.500, 0.000], [0.250, 0.750, 0.500], [0.000, 0.000, 0.000], [0.750, 0.250, 0.500], [0.639, 0.125, 0.250], [0.111, 0.625, 0.250], [0.375, 0.361, 0.750], [0.875, 0.889, 0.750]],
  "crystal_system": "tetragonal",
  "volume_a3_per_atom": 19.02,
  "spacegroup": "I-42d, No. 122",
  "dos_at_fermi_per_ev_fu": 1.8,
  "energy_ev_per_atom": -5.200,
  "total_magnetization_mub_per_cell": 0.0
}

=====

Record 4
{
  "formula": "ZnOsS2",
  "functional": "PBE",
  "state": "relaxed",
  "lattice": [[1.843, 0.000, 7.555], [-0.921, 1.596, 7.555], [-0.921, -1.596, 7.555]],
  "species": ["Zn", "Os", "S", "S"],
  "frac_coords": [[0.500, 0.500, 0.500], [0.000, 0.000, 0.000], [0.902, 0.902, 0.902], [0.098, 0.098, 0.098]],
  "crystal_system": "trigonal",
  "volume_a3_per_atom": 16.67,
  "spacegroup": "R-3m, No. 166",
  "dos_at_fermi_per_ev_fu": 2.5,
  "energy_ev_per_atom": -4.859,
  "total_magnetization_mub_per_cell": 0.0
}

=====

Record 5
{
  "formula": "Zn2OsS2",
  "functional": "PBE",
  "state": "relaxed",
  "lattice": [[-0.741, 4.281, -4.767], [-3.486, -4.296, -3.316], [-3.187, 1.302, 1.664]],
  "species": ["Zn", "Zn", "Zn", "Zn", "Os", "Os", "S", "S", "S", "S"],
  "frac_coords": [[0.145, 0.645, 0.500], [0.645, 0.855, 0.500], [0.855, 0.355, 0.500], [0.355, 0.145, 0.500], [0.000, 0.000, 0.000], [0.500, 0.500, 0.000], [0.322, 0.822, 0.000], [0.822, 0.678, 0.000], [0.678, 0.178, 0.000], [0.178, 0.322, 0.000]],
  "crystal_system": "tetragonal",
  "volume_a3_per_atom": 15.91,
  "spacegroup": "P4/mbm, No. 127",
  "dos_at_fermi_per_ev_fu": 2.4,
  "relative_energy_ev_per_fu": 0.00,
  "energy_ev_per_atom": -4.111,
  "total_magnetization_mub_per_cell": 0.0
}

=====

Record 6
{
  "formula": "Zn3OsS",
  "functional": "PBE",
  "state": "relaxed",
  "lattice": [[4.833, 0.000, 0.000], [0.000, 4.833, 0.000], [0.000, 0.000, 4.833]],
  "species": ["Zn", "Zn", "Zn", "Os", "S"],
  "frac_coords": [[0.000, 0.500, 0.000], [0.000, 0.000, 0.500], [0.500, 0.000, 0.000], [0.000, 0.000, 0.000], [0.500, 0.500, 0.500]],
  "crystal_system": "cubic",
  "volume_a3_per_atom": 22.58,
  "spacegroup": "Pm-3m, No. 221",
  "dos_at_fermi_per_ev_fu": 5.9,
  "relative_energy_ev_per_fu": 0.00,
  "energy_ev_per_atom": -2.862,
  "total_magnetization_mub_per_cell": 1.8
}